Crystalline As2RhAu at its relaxed geometry. Source: Alexandria via LeMat-Bulk, functional PBE.

```
As2RhAu
1.0
3.0732 0.0000 0.0000
0.0000 3.0750 0.0000
-0.0740 0.0000 7.3070
As Rh Au
2 1 1
Direct
0.0072 0.0000 0.2144
0.9928 0.0000 0.7856
0.5000 0.5000 0.0000
0.5000 0.5000 0.5000
```

## Properties
- formation energy (eV/atom) = -0.01



Crystalline Pm2Ho5ErTh at its relaxed geometry. Source: Alexandria via LeMat-Bulk, functional PBE.

```
Pm2Ho5ErTh
1.0
2.8448 -10.7338 0.0000
2.8448 10.7338 0.0000
0.0000 0.0000 9.7583
Pm Ho Er Th
4 10 2 2
Direct
0.1140 0.8860 0.5000
0.1310 0.8690 0.1150
0.8690 0.1310 0.6150
0.8860 0.1140 0.0000
0.0148 0.9852 0.8097
0.2693 0.7307 0.4954
0.3058 0.6942 0.1073
0.3960 0.6040 0.7848
0.4706 0.5294 0.0833
0.5294 0.4706 0.5833
0.6040 0.3960 0.2848
0.6942 0.3058 0.6073
0.7307 0.2693 0.9954
0.9852 0.0148 0.3097
0.1918 0.8082 0.8085
0.8082 0.1918 0.3085
0.4038 0.5962 0.3995
0.5962 0.4038 0.8995
```

## Properties
- formation energy (eV/atom) = 0.16



Crystalline NbCdW3 at its relaxed geometry. Source: Alexandria via LeMat-Bulk, functional PBE.

```
NbCdW3
1.0
4.7905 0.0000 0.0000
0.0000 4.7905 0.0000
0.0000 0.0000 4.7905
Nb Cd W
1 1 3
Direct
0.0000 0.0000 0.0000
0.5000 0.5000 0.5000
0.0000 0.5000 0.5000
0.5000 0.0000 0.5000
0.5000 0.5000 0.0000
```

## Properties
- formation energy (eV/atom) = 2.89



Crystalline MnPdN3 at its relaxed geometry. Source: Alexandria via LeMat-Bulk, functional PBE.

```
MnPdN3
1.0
3.8347 0.0000 0.0000
0.0000 3.8347 0.0000
0.0000 0.0000 3.8347
Mn Pd N
1 1 3
Direct
0.0000 0.0000 0.0000
0.5000 0.5000 0.5000
0.0000 0.5000 0.5000
0.5000 0.0000 0.5000
0.5000 0.5000 0.0000
```



Number 1: E -4.994 eV per atom, M_tot 0.0 μB/cell, DOS(E_F) 2.92 states/eV per cell. Number 2: E -4.766 eV per atom, M_tot 0.0 μB/cell, DOS(E_F) 26.07 states/eV per cell. Number 3: E -7.075 eV per atom, M_tot 0.0 μB/cell, DOS(E_F) 7.02 states/eV per cell. Number 4: E -5.485 eV per atom, M_tot 0.3 μB/cell, DOS(E_F) 7.61 states/eV per cell.